Density functional theory data (PBE-GGA) for a relaxed In2Bi2I crystal. Values from VASP.

VASP energy   -0.2215 Ry per atom
ΔE_f (raw)   -0.056 eV/atom
Space group   I4/mmm, No. 139
Relative energy among the computed polymorphs   0.000 eV/atom

Quantum ESPRESSO input file:
```
&SYSTEM
  ibrav = 0, nat = 5, ntyp = 3
/
ATOMIC_SPECIES
I 126.90 I.upf
Bi 208.98 Bi.upf
In 114.82 In.upf
ATOMIC_POSITIONS angstrom
I 0.000 0.000 0.000
Bi 4.651 2.326 4.010
Bi 2.326 4.651 4.010
In 4.651 4.651 6.498
In 2.326 2.326 1.522
CELL_PARAMETERS angstrom
4.651 0.000 0.000
0.000 4.651 0.000
2.326 2.326 8.020
```